The following is a PBE calculation of a relaxed Tl2InCl crystal, from Alexandria.

abc: 5.498 5.498 5.498
angles: 60.00 60.00 60.00
Fractional positions:
Tl (0.250, 0.250, 0.250)
Tl (0.750, 0.750, 0.750)
Cl (0.000, 0.000, 0.000)
In (0.500, 0.500, 0.500)

Output
VASP energy	-2.544	eV/atom
E above lowest polymorph	139	meV/atom
M_tot	0.000	μB/atom
theoretical density	7.9	g cm⁻³

The following is a PBE calculation of a relaxed TlInCl crystal, from Alexandria.

abc: 4.050 6.755 8.006
angles: 65.63 90.32 72.42
Fractional positions:
Tl (0.248, 0.694, 0.472)
Tl (0.809, 0.606, 0.050)
Cl (0.591, 0.005, 0.181)
Cl (0.911, 0.374, 0.768)
In (0.124, 0.979, 0.734)
In (0.496, 0.234, 0.393)

Output
VASP energy	-2.797	eV/atom
E above lowest polymorph	6	meV/atom
M_tot	0.000	μB/atom
theoretical density	6.3	g cm⁻³